Crystalline Hf5Co2Hg2 at its relaxed geometry. Source: Alexandria via LeMat-Bulk, functional GGA-PBE.

Total DFT energy (no corrections), eV/atom: -7.393
Energy of formation from the pure elements, kJ/mol of formula units: -188
SG: Cmce, No. 64

Structure (POSCAR):
```
Hf5Co2Hg2
1.0
7.289 -3.540 0.000
7.289 3.540 0.000
0.000 0.000 7.059
Hf Co Hg
10 4 4
direct
0.000 0.000 0.000
0.062 0.721 0.667
0.221 0.562 0.167
0.279 0.938 0.667
0.438 0.779 0.167
0.500 0.500 0.500
0.562 0.221 0.833
0.721 0.062 0.333
0.779 0.438 0.833
0.938 0.279 0.333
0.128 0.872 0.371
0.372 0.628 0.871
0.628 0.372 0.129
0.872 0.128 0.629
0.219 0.219 0.000
0.281 0.281 0.500
0.719 0.719 0.500
0.781 0.781 0.000
```

=====

Crystalline NaAlCu2 at its relaxed geometry. Source: Alexandria via LeMat-Bulk, functional GGA-PBE.

Total DFT energy (no corrections), eV/atom: -3.288
Energy of formation from the pure elements, kJ/mol of formula units: 10
SG: P4/mmm, No. 123

Structure (POSCAR):
```
NaAlCu2
1.0
3.002 0.000 0.000
0.000 3.002 0.000
0.000 0.000 7.199
Na Al Cu
1 1 2
direct
0.000 0.000 0.000
0.000 0.000 0.500
0.500 0.500 0.309
0.500 0.500 0.691
```

=====

Crystalline CaPrPu2Te4 at its relaxed geometry. Source: Alexandria via LeMat-Bulk, functional GGA-PBE.

Total DFT energy (no corrections), eV/atom: -7.302
Raw formation energy, eV/atom: -1.3008
SG: P2/m, No. 10

Structure (POSCAR):
```
CaPrPu2Te4
1.0
7.768 0.000 0.000
0.000 4.471 0.000
-2.581 0.000 7.335
Ca Pr Pu Te
1 1 2 4
direct
0.000 0.000 0.000
0.000 0.500 0.500
0.500 0.000 0.500
0.500 0.500 0.000
0.253 0.500 0.248
0.255 0.000 0.755
0.745 0.000 0.245
0.747 0.500 0.752
```

=====

Crystalline HfScAu at its relaxed geometry. Source: Alexandria via LeMat-Bulk, functional GGA-PBE.

Total DFT energy (no corrections), eV/atom: -6.958
Polymorph energy (0 for the lowest one), meV/atom: 41
Energy of formation from the pure elements, kJ/mol of formula units: -127
SG: Pnma, No. 62

Structure (POSCAR):
```
HfScAu
1.0
6.621 0.000 0.000
0.000 3.293 0.000
0.000 0.000 11.442
Hf Sc Au
4 4 4
direct
0.122 0.250 0.088
0.378 0.750 0.588
0.622 0.250 0.412
0.878 0.750 0.912
0.126 0.250 0.406
0.374 0.750 0.906
0.626 0.250 0.094
0.874 0.750 0.594
0.128 0.250 0.752
0.372 0.750 0.252
0.628 0.250 0.748
0.872 0.750 0.248
```

=====

Crystalline La3GdTc at its relaxed geometry. Source: Alexandria via LeMat-Bulk, functional GGA-PBE.

Total DFT energy (no corrections), eV/atom: -7.761
Energy of formation from the pure elements, kJ/mol of formula units: 41
SG: Pm-3m, No. 221

Structure (POSCAR):
```
La3GdTc
1.0
5.572 0.000 0.000
0.000 5.572 0.000
0.000 0.000 5.572
La Gd Tc
3 1 1
direct
0.000 0.000 0.500
0.000 0.500 0.000
0.500 0.000 0.000
0.500 0.500 0.500
0.000 0.000 0.000
```

=====

Crystalline TlZn2BiN at its relaxed geometry. Source: Alexandria via LeMat-Bulk, functional GGA-PBE.

Total DFT energy (no corrections), eV/atom: -2.942
Raw formation energy, eV/atom: 0.4818
SG: P4/mmm, No. 123

Structure (POSCAR):
```
TlZn2BiN
1.0
4.369 0.000 0.000
0.000 4.369 0.000
0.000 0.000 5.309
Tl Zn Bi N
1 2 1 1
direct
0.000 0.000 0.000
0.000 0.500 0.500
0.500 0.000 0.500
0.500 0.500 0.000
0.500 0.500 0.500
```

=====

Crystalline Y2TaTi2 at its relaxed geometry. Source: Alexandria via LeMat-Bulk, functional GGA-PBE.

Total DFT energy (no corrections), eV/atom: -7.736
Energy of formation from the pure elements, kJ/mol of formula units: 183
SG: P4/mbm, No. 127

Structure (POSCAR):
```
Y2TaTi2
1.0
6.932 0.000 0.000
0.000 6.932 0.000
0.000 0.000 4.885
Y Ta Ti
4 2 4
direct
0.174 0.326 0.000
0.326 0.826 0.000
0.674 0.174 0.000
0.826 0.674 0.000
0.000 0.000 0.500
0.500 0.500 0.500
0.139 0.639 0.500
0.361 0.139 0.500
0.639 0.861 0.500
0.861 0.361 0.500
```

=====

Crystalline Tb6AgBi at its relaxed geometry. Source: Alexandria via LeMat-Bulk, functional GGA-PBE.

Total DFT energy (no corrections), eV/atom: -4.474
Energy of formation from the pure elements, kJ/mol of formula units: -123
SG: P-1, No. 2

Structure (POSCAR):
```
Tb6AgBi
1.0
6.164 0.000 0.000
-0.282 6.163 0.000
-0.293 -0.299 6.157
Tb Ag Bi
6 1 1
direct
0.015 0.254 0.045
0.245 0.956 0.484
0.456 0.483 0.745
0.544 0.517 0.255
0.755 0.044 0.516
0.985 0.746 0.955
0.000 0.500 0.500
0.500 0.000 0.000
```

=====

Crystalline Ca7ZrN6 at its relaxed geometry. Source: Alexandria via LeMat-Bulk, functional GGA-PBE.

Total DFT energy (no corrections), eV/atom: -6.127
Raw formation energy, eV/atom: -0.9471
SG: Ibam, No. 72

Structure (POSCAR):
```
Ca7ZrN6
1.0
-3.200 5.904 6.539
3.200 -5.904 6.539
3.200 5.904 -6.539
Ca Zr N
14 2 12
direct
0.042 0.219 0.261
0.107 0.492 0.841
0.151 0.992 0.385
0.250 0.250 0.000
0.349 0.734 0.841
0.393 0.234 0.385
0.458 0.719 0.177
0.542 0.281 0.823
0.607 0.766 0.615
0.651 0.266 0.159
0.750 0.750 0.000
0.849 0.008 0.615
0.893 0.508 0.159
0.958 0.781 0.739
0.250 0.750 0.500
0.750 0.250 0.500
0.062 0.872 0.592
0.157 0.879 0.036
0.221 0.628 0.191
0.279 0.470 0.408
0.343 0.379 0.722
0.438 0.030 0.809
0.562 0.970 0.191
0.657 0.621 0.278
0.721 0.530 0.592
0.779 0.372 0.809
0.843 0.121 0.964
0.938 0.128 0.408
```

=====

Crystalline Ce2Ga3Si2 at its relaxed geometry. Source: Alexandria via LeMat-Bulk, functional GGA-PBE.

Total DFT energy (no corrections), eV/atom: -4.919
Raw formation energy, eV/atom: -0.3771
SG: Cmmm, No. 65

Structure (POSCAR):
```
Ce2Ga3Si2
1.0
2.094 -9.159 0.000
2.094 9.159 0.000
0.000 0.000 3.927
Ce Ga Si
2 3 2
direct
0.138 0.862 0.000
0.862 0.138 0.000
0.000 0.000 0.500
0.284 0.716 0.500
0.716 0.284 0.500
0.416 0.584 0.500
0.584 0.416 0.500
```

=====

Crystalline Np2Fe3CoP4 at its relaxed geometry. Source: Alexandria via LeMat-Bulk, functional GGA-PBE.

Total DFT energy (no corrections), eV/atom: -8.686
Energy of formation from the pure elements, kJ/mol of formula units: -660
SG: P-4m2, No. 115

Structure (POSCAR):
```
Np2Fe3CoP4
1.0
3.899 0.000 0.000
0.000 3.899 0.000
0.000 0.000 9.077
Np Fe Co P
2 3 1 4
direct
0.000 0.500 0.243
0.500 0.000 0.757
0.000 0.500 0.880
0.500 0.000 0.120
0.500 0.500 0.500
0.000 0.000 0.500
0.000 0.000 0.000
0.000 0.500 0.634
0.500 0.000 0.366
0.500 0.500 0.000
```

=====

Crystalline BaSrCaGd at its relaxed geometry. Source: Alexandria via LeMat-Bulk, functional GGA-PBE.

Total DFT energy (no corrections), eV/atom: -4.755
Energy of formation from the pure elements, kJ/mol of formula units: 64
SG: F-43m, No. 216

Structure (POSCAR):
```
BaSrCaGd
1.0
0.000 4.504 4.504
4.504 0.000 4.504
4.504 4.504 0.000
Ba Sr Ca Gd
1 1 1 1
direct
0.000 0.000 0.000
0.250 0.250 0.250
0.500 0.500 0.500
0.750 0.750 0.750
```

=====

Number 1 is which compound? Hf5Co2Hg2